1.
# PBE SmY3Pd2, optimized geometry
# ΔH_f (0 K): -541 meV per atom
# Space group: C2/c (15)
# Raw total energy: -75.48 eV for the cell shown
data_SmY3Pd2
_symmetry_space_group_name_H-M 'P 1'
_symmetry_Int_Tables_number 1
_cell_length_a 6.8103
_cell_length_b 7.2926
_cell_length_c 7.7445
_cell_angle_alpha 105.42
_cell_angle_beta 90.00
_cell_angle_gamma 117.84
loop_
_symmetry_equiv_pos_as_xyz
'x,y,z'
loop_
_atom_site_label
_atom_site_fract_x
_atom_site_fract_y
_atom_site_fract_z
_atom_site_occupancy
Sm1 0.2454 0.0000 0.2500 1
Sm2 0.7546 0.0000 0.7500 1
Y1 0.2524 0.0000 0.7500 1
Y2 0.7476 0.0000 0.2500 1
Y3 0.7866 0.5742 0.8936 1
Y4 0.2124 0.4258 0.6064 1
Y5 0.7876 0.5742 0.3936 1
Y6 0.2134 0.4258 0.1064 1
Pd1 0.3788 0.7570 0.4391 1
Pd2 0.3782 0.7570 0.9391 1
Pd3 0.6218 0.2430 0.0609 1
Pd4 0.6212 0.2430 0.5609 1

2.
# PBE TaSiTe2, optimized geometry
# Space group: Imm2 (44)
# Raw total energy: -22.16 eV for the cell shown
data_TaSiTe2
_symmetry_space_group_name_H-M 'P 1'
_symmetry_Int_Tables_number 1
_cell_length_a 7.0035
_cell_length_b 7.0035
_cell_length_c 7.0035
_cell_angle_alpha 151.99
_cell_angle_beta 140.95
_cell_angle_gamma 48.74
loop_
_symmetry_equiv_pos_as_xyz
'x,y,z'
loop_
_atom_site_label
_atom_site_fract_x
_atom_site_fract_y
_atom_site_fract_z
_atom_site_occupancy
Si1 0.4083 0.4083 0.0000 1
Ta1 0.2377 0.7377 0.5000 1
Te1 0.0638 0.0638 0.0000 1
Te2 0.7902 0.2902 0.5000 1